# 1
VASP calculation (PBE) on CoGePb3 after structural relaxation.

The offset from the most stable computed form is 694.6 meV per atom. As for the density of states at the Fermi level: 0.822 states/eV/atom. The calculated formation energy comes out at 1.064 eV/atom. As for the space group: Pm-3m.

Cell: 5.499 5.499 5.499 Å, 90.00 90.00 90.00°
Each line ends with the local moment (μB).
Positions (direct):
Pb: 0.000 0.500 0.000  -0.03
Pb: 0.000 0.000 0.500  -0.02
Pb: 0.500 0.000 0.000  -0.02
Ge: 0.000 0.000 0.000  -0.01
Co: 0.500 0.500 0.500  2.08

# 2
VASP calculation (PBE) on Co2GePb after structural relaxation.

The offset from the most stable computed form is 0.0 meV per atom. As for the density of states at the Fermi level: 0.527 states/eV/atom. The calculated formation energy comes out at 0.391 eV/atom. As for the space group: Fm-3m.

Cell: 4.423 4.423 4.423 Å, 60.00 60.00 60.00°
Each line ends with the local moment (μB).
Positions (direct):
Pb: 0.500 0.500 0.500  -0.02
Ge: 0.000 0.000 0.000  0.00
Co: 0.250 0.250 0.250  0.93
Co: 0.750 0.750 0.750  0.93

# 3
VASP calculation (PBE) on CoGe3Pb after structural relaxation.

The offset from the most stable computed form is 0.0 meV per atom. As for the density of states at the Fermi level: 0.879 states/eV/atom. The calculated formation energy comes out at 0.198 eV/atom. As for the space group: Pm-3m.

Cell: 4.685 4.685 4.685 Å, 90.00 90.00 90.00°
Positions (direct):
Pb: 0.500 0.500 0.500
Ge: 0.000 0.500 0.000
Ge: 0.000 0.000 0.500
Ge: 0.500 0.000 0.000
Co: 0.000 0.000 0.000

no.,size of the total moment (Bohr magnetons per cell),ρ (kg/m3)
1,1.96,7523
2,1.76,10791
3,0.00,7817